Here is crystalline Ba4Cd2InHg at its relaxed geometry from the Alexandria database. Energies are from PBE-GGA.

```
Ba4Cd2InHg
1.0
-0.604 5.690 1.840
-5.204 1.857 2.366
1.216 -0.041 10.343
Cd In Ba Hg
2 1 4 1
Direct
0.252 0.252 0.243
0.748 0.748 0.757
0.000 0.000 0.000
0.126 0.126 0.623
0.874 0.874 0.377
0.376 0.376 0.872
0.624 0.624 0.128
0.500 0.500 0.500
```

Results
Formation energy from the elements: -38.33 kJ per mole of atoms